No. 1
Pu3In2Bi | PBE | optimized geometry

Output
- calculated total energy (eV per atom) = -8.85
- DFT formation energy (meV/atom) = -124

Cell: 5.4464 5.4464 6.6010 Å, 90.00 90.00 120.00°
Space group P-3m1 (No. 164)
Inequivalent atoms, fractional coordinates:
Pu: 0.0000 0.0000 0.0000 x1
Pu: 0.3333 0.6667 0.6255 x2
In: 0.3333 0.6667 0.1285 x2
Bi: 0.0000 0.0000 0.5000 x1



No. 2
PuInBi2 | PBE | optimized geometry

Output
- calculated total energy (eV per atom) = -6.19
- DFT formation energy (meV/atom) = 17
- energy relative to the lowest polymorph listed for this composition (meV per atom) = 273

Cell: 4.6918 4.6918 20.8758 Å, 90.00 90.00 120.00°
Space group R-3m (No. 166, hexagonal axes)
Inequivalent atoms, fractional coordinates:
Pu: 0.0000 0.0000 0.0000 x3
In: 0.0000 0.0000 0.5000 x3
Bi: 0.0000 0.0000 0.2512 x6



No. 3
PuInBi | PBE | optimized geometry

Output
- calculated total energy (eV per atom) = -7.12
- DFT formation energy (meV/atom) = -136
- energy relative to the lowest polymorph listed for this composition (meV per atom) = 0

Cell: 5.4499 5.4499 3.3385 Å, 90.00 90.00 120.00°
Space group P-6m2 (No. 187)
Inequivalent atoms, fractional coordinates:
Pu: 0.0000 0.0000 0.0000 x1
In: 0.6667 0.3333 0.5000 x1
Bi: 0.3333 0.6667 0.5000 x1



No. 4
Pu4InBi3 | PBE | optimized geometry

Output
- calculated total energy (eV per atom) = -9.15
- DFT formation energy (meV/atom) = -187

Cell: 4.276 5.107 10.601 Å, 90.00 90.00 90.00°
Space group Pmmm (No. 47)
Inequivalent atoms, fractional coordinates:
Pu: 0.000 0.000 0.000 x1
Pu: 0.000 0.000 0.500 x1
Pu: 0.000 0.500 0.243 x2
In: 0.500 0.500 0.000 x1
Bi: 0.500 0.000 0.240 x2
Bi: 0.500 0.500 0.500 x1



No. 5
Pu2InBi5 | PBE | optimized geometry

Output
- calculated total energy (eV per atom) = -6.59
- DFT formation energy (meV/atom) = -241

Cell: 6.843 13.699 4.984 Å, 90.00 90.00 90.00°
Space group Pbam (No. 55)
Inequivalent atoms, fractional coordinates:
Pu: 0.220 0.131 0.000 x4
In: 0.000 0.500 0.500 x2
Bi: 0.000 0.000 0.500 x2
Bi: 0.027 0.745 0.500 x4
Bi: 0.223 0.383 0.000 x4



No. 6
PuInBi3 | PBE | optimized geometry

Output
- calculated total energy (eV per atom) = -5.88
- DFT formation energy (meV/atom) = -141

Cell: 6.672 13.883 6.480 Å, 90.00 90.05 90.00°
Space group P2/c (No. 13)
Inequivalent atoms, fractional coordinates:
Pu: 0.250 0.186 0.011 x4
In: 0.000 0.379 0.250 x2
In: 0.500 0.379 0.250 x2
Bi: 0.000 0.001 0.250 x2
Bi: 0.249 0.415 0.817 x4
Bi: 0.250 0.215 0.516 x4
Bi: 0.500 0.001 0.250 x2